# TcPCl2

A PBEsol-optimized structure of TcPCl2 (SCAN, Alexandria via LeMat-Bulk).

Output
The calculation puts the uncorrected formation energy at -0.36 eV per atom. As for the polymorph energy (0 for the lowest one): 0 meV per atom.

Lattice parameters (Å, degrees): 3.0923 3.0921 8.1335 90.00 90.00 90.00
Sites, in units of the cell vectors:
Cl 0.0000 0.0000 0.0611
Cl 0.5000 0.5000 0.7009
P 0.0000 0.0000 0.3119
Tc 0.5000 0.5000 0.4261

***

# TcP2Cl

A PBEsol-optimized structure of TcP2Cl (SCAN, Alexandria via LeMat-Bulk).

Output
The calculation puts the uncorrected formation energy at 0.50 eV per atom. As for the polymorph energy (0 for the lowest one): 692 meV per atom.

Lattice parameters (Å, degrees): 2.8754 2.9664 8.5991 90.00 90.00 118.99
Sites, in units of the cell vectors:
Cl 0.5000 0.0000 0.7038
P 0.0000 0.0000 0.0501
P 0.5000 0.0000 0.2626
Tc 0.0000 0.0000 0.4834

***

# Tc2PCl

A PBEsol-optimized structure of Tc2PCl (SCAN, Alexandria via LeMat-Bulk).

Output
The calculation puts the uncorrected formation energy at 0.90 eV per atom.

Lattice parameters (Å, degrees): 4.3160 4.3160 4.3160 60.00 60.00 60.00
Sites, in units of the cell vectors:
Cl 0.5000 0.5000 0.5000
P 0.7500 0.7500 0.7500
Tc 0.0000 0.0000 0.0000
Tc 0.2500 0.2500 0.2500

***

# TcPCl2

A PBEsol-optimized structure of TcPCl2 (SCAN, Alexandria via LeMat-Bulk).

Output
The calculation puts the uncorrected formation energy at 0.98 eV per atom. As for the polymorph energy (0 for the lowest one): 1344 meV per atom.

Lattice parameters (Å, degrees): 4.3687 4.3687 4.3687 60.00 60.00 60.00
Each line ends with the local moment (μB).
Sites, in units of the cell vectors:
P 0.0000 0.0000 0.0000  -0.28
Tc 0.5000 0.5000 0.5000  2.61
Cl 0.2500 0.2500 0.2500  0.02
Cl 0.7500 0.7500 0.7500  0.02